Material: MgTl2Mo
Method: DFT, PBE
State: optimized geometry

E_tot: -3.753 eV per atom
E above lowest polymorph: 76 meV/atom
Magnetization: 1.30 Bohr magnetons per cell

Geometry as CIF:
```
data_MgTl2Mo
_space_group_name_H-M_alt 'P 1'
_space_group_IT_number 1
_cell_length_a 3.549
_cell_length_b 4.018
_cell_length_c 6.049
_cell_angle_alpha 90.00
_cell_angle_beta 90.00
_cell_angle_gamma 90.00
loop_
_space_group_symop_operation_xyz
'x,y,z'
loop_
_atom_site_label
_atom_site_type_symbol
_atom_site_fract_x
_atom_site_fract_y
_atom_site_fract_z
Mg1 Mg 0.000 0.000 0.000
Tl1 Tl 0.000 0.000 0.458
Tl2 Tl 0.500 0.500 0.752
Mo1 Mo 0.500 0.500 0.237
```